# 1
A geometry-optimized BePIr structure. Source: Alexandria, functional PBE.

a b c (Å): 2.798 2.798 10.429
angles (deg): 90.00 90.00 90.00
Sites, in units of the cell vectors:
1 Be 0.000 0.000 0.000
2 Be 0.500 0.500 0.500
3 P 0.000 0.000 0.284
4 P 0.500 0.500 0.784
5 Ir 0.000 0.000 0.636
6 Ir 0.500 0.500 0.136

ΔE to the lowest computed polymorph	278.5	meV per atom
E_form	0.021	eV per atom
symmetry	I4mm, No. 107
raw total energy	-5.98	eV per atom



# 2
A geometry-optimized TmBe2Ru structure. Source: Alexandria, functional PBE.

a b c (Å): 3.861 3.861 14.142
angles (deg): 90.00 90.00 120.00
Sites, in units of the cell vectors:
1 Tm 0.000 0.000 0.000
2 Tm 0.333 0.667 0.667
3 Tm 0.667 0.333 0.333
4 Be 0.000 0.000 0.196
5 Be 0.000 0.000 0.804
6 Be 0.333 0.667 0.470
7 Be 0.333 0.667 0.863
8 Be 0.667 0.333 0.137
9 Be 0.667 0.333 0.530
10 Ru 0.000 0.000 0.500
11 Ru 0.333 0.667 0.167
12 Ru 0.667 0.333 0.833

ΔE to the lowest computed polymorph	0.0	meV per atom
E_form	-0.249	eV per atom
symmetry	R-3m, No. 166
raw total energy	-5.55	eV per atom



# 3
A geometry-optimized Ba4PuNb3O12 structure. Source: Alexandria, functional PBE.

a b c (Å): 7.328 7.328 7.328
angles (deg): 109.47 109.47 109.47
Sites, in units of the cell vectors:
1 Ba 0.000 0.000 0.500
2 Ba 0.000 0.500 0.000
3 Ba 0.500 0.000 0.000
4 Ba 0.500 0.500 0.500
5 Pu 0.000 0.000 0.000
6 Nb 0.000 0.500 0.500
7 Nb 0.500 0.000 0.500
8 Nb 0.500 0.500 0.000
9 O 0.000 0.262 0.262
10 O 0.000 0.738 0.738
11 O 0.250 0.500 0.750
12 O 0.250 0.750 0.500
13 O 0.262 0.000 0.262
14 O 0.262 0.262 0.000
15 O 0.500 0.250 0.750
16 O 0.500 0.750 0.250
17 O 0.738 0.000 0.738
18 O 0.738 0.738 0.000
19 O 0.750 0.250 0.500
20 O 0.750 0.500 0.250

symmetry	Im-3m, No. 229
raw total energy	-8.38	eV per atom
E_form (uncorrected)	-2.7912	eV/atom